Compound: CrN2F
Source: Alexandria via LeMat-Bulk
Functional: PBE with a Hubbard U
Structure: optimized geometry

Values from the calculation:
The density of states at the Fermi level comes out at 6.501 states/eV per cell. The value obtained for the energy is -5.706 eV/atom.

Structure (CIF):
```
data_CrN2F
_chemical_formula_sum 'Cr3 N6 F3'
_space_group_name_H-M_alt 'R -3 m'
_space_group_IT_number 166
_space_group_name_Hall '-R 3 2"'
_cell_length_a 2.8249
_cell_length_b 2.8249
_cell_length_c 16.8383
_cell_angle_alpha 90.00
_cell_angle_beta 90.00
_cell_angle_gamma 120.00
loop_
_atom_site_label
_atom_site_fract_x
_atom_site_fract_y
_atom_site_fract_z
_atom_site_occupancy
Cr1 0.0000 0.0000 0.0000 1
N1 0.0000 0.0000 0.3951 1
F1 0.0000 0.0000 0.5000 1
```